No. 1
{
  "formula": "Rb3VGe",
  "functional": "PBE-GGA",
  "state": "optimized geometry",
  "cell": [[-6.383, -1.845, -1.456], [-1.020, -1.622, 6.526], [-2.117, 6.343, 1.245]],
  "species": ["V", "Ge", "Rb", "Rb", "Rb"],
  "fractional_positions": [[0.500, 0.500, 0.500], [0.000, 0.000, 0.000], [0.500, 0.000, 0.000], [0.000, 0.000, 0.500], [0.000, 0.500, 0.000]],
  "formation_energy_ev_per_atom": 1.0239,
  "dos_at_fermi_per_ev_cell": 15.17,
  "magnetic_moment_mub_per_cell": 5.82,
  "sg": "Pm-3m",
  "total_energy_ev_per_atom": -2.30,
  "polymorph_energy_mev_per_atom": 0,
  "rho_g_cm3": 2.01
}



No. 2
{
  "formula": "Rb2V2Ge",
  "functional": "PBE-GGA",
  "state": "optimized geometry",
  "cell": [[-0.563, -10.599, -1.588], [3.238, 1.348, -10.142], [2.902, -0.287, 0.888]],
  "species": ["V", "Rb", "Ge", "Ge", "V", "Rb", "V", "Rb", "Rb", "V"],
  "fractional_positions": [[0.560, 0.940, 0.500], [0.780, 0.720, 0.000], [0.000, 0.000, 0.000], [0.500, 0.500, 0.000], [0.940, 0.440, 0.500], [0.720, 0.220, 0.000], [0.440, 0.060, 0.500], [0.220, 0.280, 0.000], [0.280, 0.780, 0.000], [0.060, 0.560, 0.500]],
  "formation_energy_ev_per_atom": 1.2319,
  "dos_at_fermi_per_ev_cell": 9.57,
  "magnetic_moment_mub_per_cell": 0.00,
  "sg": "P4/mbm",
  "total_energy_ev_per_atom": -3.73,
  "polymorph_energy_mev_per_atom": 472,
  "rho_g_cm3": 3.27
}